{
  "formula": "TaBe3V",
  "functional": "PBE-GGA",
  "state": "optimized geometry",
  "energy_ev_per_atom": -4.728,
  "formation_energy_ev_per_atom": 1.702,
  "space_group": "Pm-3m, No. 221",
  "de_polymorph_ev_per_atom": 0.7096,
  "lattice": [[4.282, 0.000, 0.000], [0.000, 4.282, 0.000], [0.000, 0.000, 4.282]],
  "species": ["Ta", "Be", "Be", "Be", "V"],
  "frac_coords": [[0.000, 0.000, 0.000], [0.000, 0.000, 0.500], [0.000, 0.500, 0.000], [0.500, 0.000, 0.000], [0.500, 0.500, 0.500]]
}

{
  "formula": "Nd2Dy4Ho3",
  "functional": "PBE-GGA",
  "state": "optimized geometry",
  "energy_ev_per_atom": -4.538,
  "formation_energy_ev_per_atom": 0.093,
  "space_group": "C2/c, No. 15",
  "lattice": [[8.127, -5.810, 0.000], [8.127, 5.810, 0.000], [-0.654, 0.000, 6.110]],
  "species": ["Nd", "Nd", "Nd", "Nd", "Dy", "Dy", "Dy", "Dy", "Dy", "Dy", "Dy", "Dy", "Ho", "Ho", "Ho", "Ho", "Ho", "Ho"],
  "frac_coords": [[0.022, 0.733, 0.678], [0.267, 0.978, 0.822], [0.733, 0.022, 0.178], [0.978, 0.267, 0.322], [0.077, 0.355, 0.848], [0.313, 0.594, 0.985], [0.355, 0.077, 0.348], [0.406, 0.687, 0.515], [0.594, 0.313, 0.485], [0.645, 0.923, 0.652], [0.687, 0.406, 0.015], [0.923, 0.645, 0.152], [0.098, 0.902, 0.250], [0.237, 0.433, 0.406], [0.433, 0.237, 0.906], [0.567, 0.763, 0.094], [0.763, 0.567, 0.594], [0.902, 0.098, 0.750]]
}

{
  "formula": "RbAlSe2",
  "functional": "PBE-GGA",
  "state": "optimized geometry",
  "energy_ev_per_atom": -4.009,
  "space_group": "Pna2_1, No. 33",
  "formation_energy_uncorrected_ev_per_fu": -4.4,
  "lattice": [[6.910, 0.000, 0.000], [0.000, 10.796, 0.000], [0.000, 0.000, 6.839]],
  "species": ["Rb", "Rb", "Rb", "Rb", "Al", "Al", "Al", "Al", "Se", "Se", "Se", "Se", "Se", "Se", "Se", "Se"],
  "frac_coords": [[0.020, 0.124, 0.000], [0.480, 0.624, 0.500], [0.520, 0.376, 0.000], [0.980, 0.876, 0.500], [0.040, 0.374, 0.454], [0.460, 0.874, 0.954], [0.540, 0.126, 0.454], [0.960, 0.626, 0.954], [0.023, 0.428, 0.108], [0.127, 0.817, 0.027], [0.373, 0.317, 0.527], [0.477, 0.928, 0.608], [0.523, 0.072, 0.108], [0.627, 0.683, 0.027], [0.873, 0.183, 0.527], [0.977, 0.572, 0.608]]
}

{
  "formula": "TbHo3Er5",
  "functional": "PBE-GGA",
  "state": "optimized geometry",
  "energy_ev_per_atom": -4.340,
  "formation_energy_ev_per_atom": 0.236,
  "space_group": "C2/c, No. 15",
  "de_polymorph_ev_per_atom": 0.0000,
  "lattice": [[8.064, -4.348, 0.000], [8.064, 4.348, 0.000], [-7.373, 0.000, 8.103]],
  "species": ["Tb", "Tb", "Ho", "Ho", "Ho", "Ho", "Ho", "Ho", "Er", "Er", "Er", "Er", "Er", "Er", "Er", "Er", "Er", "Er"],
  "frac_coords": [[0.244, 0.756, 0.750], [0.756, 0.244, 0.250], [0.000, 0.000, 0.000], [0.000, 0.000, 0.500], [0.186, 0.250, 0.968], [0.250, 0.186, 0.468], [0.750, 0.814, 0.532], [0.814, 0.750, 0.032], [0.102, 0.534, 0.332], [0.284, 0.524, 0.887], [0.325, 0.675, 0.250], [0.466, 0.898, 0.168], [0.476, 0.716, 0.613], [0.524, 0.284, 0.387], [0.534, 0.102, 0.832], [0.675, 0.325, 0.750], [0.716, 0.476, 0.113], [0.898, 0.466, 0.668]]
}

{
  "formula": "Ce2YGa3Pt4",
  "functional": "PBE-GGA",
  "state": "optimized geometry",
  "energy_ev_per_atom": -6.083,
  "formation_energy_ev_per_atom": -0.926,
  "space_group": "P-4m2, No. 115",
  "lattice": [[4.211, 0.000, 0.000], [0.000, 4.211, 0.000], [0.000, 0.000, 11.613]],
  "species": ["Ce", "Ce", "Y", "Ga", "Ga", "Ga", "Pt", "Pt", "Pt", "Pt"],
  "frac_coords": [[0.000, 0.500, 0.231], [0.500, 0.000, 0.769], [0.000, 0.000, 0.500], [0.000, 0.500, 0.876], [0.500, 0.000, 0.124], [0.500, 0.500, 0.500], [0.000, 0.000, 0.000], [0.000, 0.500, 0.661], [0.500, 0.000, 0.339], [0.500, 0.500, 0.000]]
}

{
  "formula": "Tl2CrMo",
  "functional": "PBE-GGA",
  "state": "optimized geometry",
  "energy_ev_per_atom": -5.495,
  "formation_energy_ev_per_atom": 0.802,
  "space_group": "C2/m, No. 12",
  "de_polymorph_ev_per_atom": 0.3032,
  "lattice": [[4.751, -1.532, 0.000], [4.751, 1.532, 0.000], [-0.984, 0.000, 5.458]],
  "species": ["Tl", "Tl", "Cr", "Mo"],
  "frac_coords": [[0.250, 0.250, 0.249], [0.750, 0.750, 0.751], [0.000, 0.000, 0.500], [0.500, 0.500, 0.000]]
}

{
  "formula": "Ba2BiPbO5",
  "functional": "PBE-GGA",
  "state": "optimized geometry",
  "energy_ev_per_atom": -5.758,
  "space_group": "Cmc2_1, No. 36",
  "formation_energy_uncorrected_ev_per_fu": -15.6,
  "lattice": [[1.849, -8.308, 0.000], [1.849, 8.308, 0.000], [0.000, 0.000, 10.925]],
  "species": ["Ba", "Ba", "Ba", "Ba", "Bi", "Bi", "Pb", "Pb", "O", "O", "O", "O", "O", "O", "O", "O", "O", "O"],
  "frac_coords": [[0.125, 0.875, 0.500], [0.128, 0.872, 0.062], [0.872, 0.128, 0.562], [0.875, 0.125, 0.000], [0.228, 0.772, 0.783], [0.772, 0.228, 0.283], [0.488, 0.512, 0.268], [0.512, 0.488, 0.768], [0.090, 0.910, 0.793], [0.283, 0.717, 0.423], [0.286, 0.714, 0.144], [0.366, 0.634, 0.785], [0.497, 0.503, 0.065], [0.503, 0.497, 0.565], [0.634, 0.366, 0.285], [0.714, 0.286, 0.644], [0.717, 0.283, 0.923], [0.910, 0.090, 0.293]]
}

{
  "formula": "SmTlPO4",
  "functional": "PBE-GGA",
  "state": "optimized geometry",
  "energy_ev_per_atom": -6.916,
  "space_group": "P2_1/m, No. 11",
  "formation_energy_uncorrected_ev_per_fu": -16.1,
  "lattice": [[5.987, 0.000, 0.000], [0.000, 5.474, 0.000], [-1.945, 0.000, 9.556]],
  "species": ["Sm", "Sm", "Tl", "Tl", "P", "P", "O", "O", "O", "O", "O", "O", "O", "O"],
  "frac_coords": [[0.240, 0.250, 0.063], [0.760, 0.750, 0.937], [0.405, 0.250, 0.460], [0.595, 0.750, 0.540], [0.249, 0.750, 0.887], [0.751, 0.250, 0.113], [0.086, 0.525, 0.879], [0.086, 0.975, 0.879], [0.407, 0.750, 0.781], [0.409, 0.750, 0.036], [0.591, 0.250, 0.964], [0.593, 0.250, 0.219], [0.914, 0.025, 0.121], [0.914, 0.475, 0.121]]
}

{
  "formula": "Y4FeRh",
  "functional": "PBE-GGA",
  "state": "optimized geometry",
  "energy_ev_per_atom": -6.091,
  "formation_energy_ev_per_atom": 0.855,
  "space_group": "F-43m, No. 216",
  "lattice": [[0.000, 4.251, 4.251], [4.251, 0.000, 4.251], [4.251, 4.251, 0.000]],
  "species": ["Y", "Y", "Y", "Y", "Fe", "Rh"],
  "frac_coords": [[0.125, 0.125, 0.125], [0.125, 0.125, 0.624], [0.125, 0.624, 0.125], [0.624, 0.125, 0.125], [0.750, 0.750, 0.750], [0.500, 0.500, 0.500]]
}

{
  "formula": "LaPm6Sm3Dy2",
  "functional": "PBE-GGA",
  "state": "optimized geometry",
  "energy_ev_per_atom": -4.716,
  "formation_energy_ev_per_atom": 0.017,
  "space_group": "C2/m, No. 12",
  "lattice": [[3.151, -5.456, 0.000], [3.151, 5.456, 0.000], [-2.107, 0.000, 11.887]],
  "species": ["La", "Pm", "Pm", "Pm", "Pm", "Pm", "Pm", "Sm", "Sm", "Sm", "Dy", "Dy"],
  "frac_coords": [[0.000, 0.000, 0.000], [0.084, 0.418, 0.250], [0.251, 0.251, 0.750], [0.418, 0.084, 0.250], [0.582, 0.916, 0.750], [0.749, 0.749, 0.250], [0.916, 0.582, 0.750], [0.167, 0.833, 0.500], [0.500, 0.500, 0.500], [0.833, 0.167, 0.500], [0.334, 0.666, 0.000], [0.666, 0.334, 0.000]]
}

{
  "formula": "La6Nd12Mg",
  "functional": "PBE-GGA",
  "state": "optimized geometry",
  "energy_ev_per_atom": -4.540,
  "formation_energy_ev_per_atom": 0.111,
  "space_group": "R-3, No. 148",
  "de_polymorph_ev_per_atom": 0.0148,
  "lattice": [[6.752, 3.898, 4.399], [-6.752, 3.898, 4.399], [0.000, -7.797, 4.399]],
  "species": ["La", "La", "La", "La", "La", "La", "Nd", "Nd", "Nd", "Nd", "Nd", "Nd", "Nd", "Nd", "Nd", "Nd", "Nd", "Nd", "Mg"],
  "frac_coords": [[0.091, 0.366, 0.363], [0.363, 0.091, 0.366], [0.366, 0.363, 0.091], [0.634, 0.637, 0.909], [0.637, 0.909, 0.634], [0.909, 0.634, 0.637], [0.085, 0.085, 0.671], [0.085, 0.671, 0.085], [0.239, 0.499, 0.761], [0.239, 0.761, 0.501], [0.329, 0.915, 0.915], [0.499, 0.761, 0.239], [0.501, 0.239, 0.761], [0.671, 0.085, 0.085], [0.761, 0.239, 0.499], [0.761, 0.501, 0.239], [0.915, 0.329, 0.915], [0.915, 0.915, 0.329], [0.500, 0.500, 0.500]]
}

{
  "formula": "LaIr",
  "functional": "PBE-GGA",
  "state": "optimized geometry",
  "energy_ev_per_atom": -7.312,
  "formation_energy_ev_per_atom": -0.418,
  "space_group": "P4/m, No. 83",
  "lattice": [[8.607, 0.000, 0.000], [0.000, 8.607, 0.000], [0.000, 0.000, 5.509]],
  "species": ["La", "La", "La", "La", "La", "La", "La", "La", "Ir", "Ir", "Ir", "Ir", "Ir", "Ir", "Ir", "Ir"],
  "frac_coords": [[0.067, 0.707, 0.000], [0.208, 0.424, 0.500], [0.293, 0.067, 0.000], [0.424, 0.792, 0.500], [0.576, 0.208, 0.500], [0.707, 0.933, 0.000], [0.792, 0.576, 0.500], [0.933, 0.293, 0.000], [0.056, 0.781, 0.500], [0.219, 0.056, 0.500], [0.290, 0.448, 0.000], [0.448, 0.710, 0.000], [0.552, 0.290, 0.000], [0.710, 0.552, 0.000], [0.781, 0.944, 0.500], [0.944, 0.219, 0.500]]
}